{
  "formula": "La5Zn2Ru",
  "functional": "PBE",
  "state": "optimized geometry",
  "cell": [[4.8693, 0.0000, 0.0000], [0.0000, 8.1459, 0.0000], [0.0000, 0.0000, 11.8418]],
  "species": ["La", "La", "La", "La", "La", "La", "La", "La", "La", "La", "Zn", "Zn", "Zn", "Zn", "Ru", "Ru"],
  "frac_coords": [[0.0000, 0.0000, 0.5000], [0.0000, 0.5000, 0.0000], [0.0000, 0.8537, 0.2029], [0.0000, 0.1463, 0.7971], [0.0000, 0.6463, 0.7029], [0.0000, 0.3537, 0.2971], [0.5000, 0.6836, 0.4227], [0.5000, 0.3164, 0.5773], [0.5000, 0.8164, 0.9227], [0.5000, 0.1836, 0.0773], [0.5000, 0.5697, 0.1613], [0.5000, 0.4303, 0.8387], [0.5000, 0.9303, 0.6613], [0.5000, 0.0697, 0.3387], [0.0000, 0.5000, 0.5000], [0.0000, 0.0000, 0.0000]],
  "ef_mev_per_atom": -255,
  "magnetic_moment_mub_per_fu": 0.0,
  "n_ef_per_ev_cell": 20.8,
  "crystal_system": "orthorhombic"
}

{
  "formula": "LaZn3Ru3",
  "functional": "PBE",
  "state": "optimized geometry",
  "cell": [[-4.7254, 2.2946, -4.2324], [-1.7004, -6.3437, -1.5408], [-4.5041, -0.0124, 5.0220]],
  "species": ["Ru", "Ru", "Ru", "Ru", "Ru", "Ru", "Zn", "Zn", "Zn", "Zn", "Zn", "Zn", "La", "La"],
  "frac_coords": [[0.0000, 0.2500, 0.5000], [0.0000, 0.7500, 0.5000], [0.5000, 0.0000, 0.7500], [0.7500, 0.5000, 0.0000], [0.5000, 0.0000, 0.2500], [0.2500, 0.5000, 0.0000], [0.2500, 0.0000, 0.5000], [0.0000, 0.5000, 0.2500], [0.5000, 0.7500, 0.0000], [0.7500, 0.0000, 0.5000], [0.0000, 0.5000, 0.7500], [0.5000, 0.2500, 0.0000], [0.5000, 0.5000, 0.5000], [0.0000, 0.0000, 0.0000]],
  "ef_mev_per_atom": 709,
  "magnetic_moment_mub_per_fu": 2.4,
  "n_ef_per_ev_cell": 12.0,
  "crystal_system": "cubic"
}